# CoAgI2N

CoAgI2N after structural relaxation (PBE, Alexandria via LeMat-Bulk).

Results
raw formation energy: 428 meV/atom
mass density: 6.74 g cm⁻³
SG: P4/mmm (123)
crystal system: tetragonal
ΔE to the lowest computed polymorph: 0.0000 eV per atom
density of states at the Fermi level: 3.75 states/eV per cell

a b c (Å): 5.5399 5.5399 3.4869
angles (deg): 90.00 90.00 90.00
Closest atoms and distances in Å follow each position.
Element x y z (fractional)
Co  0.0000  0.0000  0.0000  2 N 1.74
Ag  0.5000  0.5000  0.5000  8 I 3.27, 2 Ag 3.49
I  0.0000  0.5000  0.0000  2 Co 2.77
I  0.5000  0.0000  0.0000  2 Co 2.77
N  0.0000  0.0000  0.5000  2 Co 1.74